Density functional theory data (PBE) for a relaxed structure of SrLi3Pb2.

Properties
theoretical density: 5.7 g/cm³
ΔE to the lowest computed polymorph: 0 meV/atom
total moment: 0.0000 μB per atom
E_form: -0.371 eV per atom

a = 4.9605 Å, b = 7.7368 Å, c = 9.1450 Å
α = 67.53°, β = 74.26°, γ = 71.30°
Element x y z (fractional)
Sr: 0.1406 0.7416 0.9772
Sr: 0.8594 0.2584 0.0228
Li: 0.7302 0.0919 0.4476
Li: 0.0503 0.2750 0.6244
Li: 0.4098 0.5102 0.6702
Li: 0.5902 0.4898 0.3298
Li: 0.9497 0.7250 0.3756
Li: 0.2698 0.9081 0.5524
Pb: 0.5565 0.0889 0.7982
Pb: 0.4435 0.9111 0.2018
Pb: 0.2011 0.3076 0.2902
Pb: 0.7989 0.6924 0.7098